[1]
Material: TaHgBO5
Method: DFT, GGA-PBE
State: relaxed

Cell and atoms, written as CIF:
```
data_TaHgBO5
_chemical_formula_sum 'Ta2 Hg2 B2 O10'
_space_group_name_H-M_alt 'P 1'
_space_group_IT_number 1
_cell_length_a 5.4137
_cell_length_b 5.4137
_cell_length_c 7.5423
_cell_angle_alpha 107.25
_cell_angle_beta 107.25
_cell_angle_gamma 100.78
loop_
_space_group_symop_operation_xyz
'x,y,z'
loop_
_atom_site_label
_atom_site_type_symbol
_atom_site_fract_x
_atom_site_fract_y
_atom_site_fract_z
_atom_site_occupancy
Ta1 Ta 0.0000 0.0000 0.5000 1
Ta2 Ta 0.0000 0.0000 0.0000 1
Hg1 Hg 0.3393 0.6607 0.2500 1
Hg2 Hg 0.6607 0.3393 0.7500 1
B1 B 0.6830 0.3170 0.2500 1
B2 B 0.3170 0.6830 0.7500 1
O1 O 0.0828 0.9172 0.2500 1
O2 O 0.9172 0.0828 0.7500 1
O3 O 0.8544 0.2822 0.1288 1
O4 O 0.1456 0.7178 0.8712 1
O5 O 0.7178 0.1456 0.3712 1
O6 O 0.2822 0.8544 0.6288 1
O7 O 0.7544 0.6144 0.3809 1
O8 O 0.2456 0.3856 0.6191 1
O9 O 0.3856 0.2456 0.1191 1
O10 O 0.6144 0.7544 0.8809 1
```

Values from the calculation:
Uncorrected formation energy ... -1.9911 eV/atom
M_tot ... 0.00 μB per formula unit
Space group ... C2/c, No. 15

[2]
Material: Sc2MnTc2
Method: DFT, GGA-PBE
State: relaxed

Cell and atoms, written as CIF:
```
data_Sc2MnTc2
_chemical_formula_sum 'Sc4 Mn2 Tc4'
_space_group_name_H-M_alt 'P 1'
_space_group_IT_number 1
_cell_length_a 7.0318
_cell_length_b 7.0318
_cell_length_c 3.3722
_cell_angle_alpha 90.00
_cell_angle_beta 90.00
_cell_angle_gamma 90.00
loop_
_space_group_symop_operation_xyz
'x,y,z'
loop_
_atom_site_label
_atom_site_type_symbol
_atom_site_fract_x
_atom_site_fract_y
_atom_site_fract_z
_atom_site_occupancy
Sc1 Sc 0.3548 0.8548 0.0000 1
Sc2 Sc 0.8548 0.6452 0.0000 1
Sc3 Sc 0.6452 0.1452 0.0000 1
Sc4 Sc 0.1452 0.3548 0.0000 1
Mn1 Mn 0.0000 0.0000 0.0000 1
Mn2 Mn 0.5000 0.5000 0.0000 1
Tc1 Tc 0.1616 0.6616 0.5000 1
Tc2 Tc 0.6616 0.8384 0.5000 1
Tc3 Tc 0.8384 0.3384 0.5000 1
Tc4 Tc 0.3384 0.1616 0.5000 1
```

Values from the calculation:
M_tot ... 0.00 μB per formula unit
DFT formation energy ... 0.619 eV/atom
Space group ... P4/mbm, No. 127

[3]
Material: Li3Cd2Hg7
Method: DFT, GGA-PBE
State: relaxed

Cell and atoms, written as CIF:
```
data_Li3Cd2Hg7
_chemical_formula_sum 'Li3 Cd2 Hg7'
_space_group_name_H-M_alt 'P 1'
_space_group_IT_number 1
_cell_length_a 3.1637
_cell_length_b 4.8756
_cell_length_c 18.1485
_cell_angle_alpha 98.47
_cell_angle_beta 90.00
_cell_angle_gamma 90.00
loop_
_space_group_symop_operation_xyz
'x,y,z'
loop_
_atom_site_label
_atom_site_type_symbol
_atom_site_fract_x
_atom_site_fract_y
_atom_site_fract_z
_atom_site_occupancy
Li1 Li 0.5000 0.5000 0.0000 1
Li2 Li 0.0000 0.1955 0.3940 1
Li3 Li 0.0000 0.8045 0.6060 1
Cd1 Cd 0.5000 0.6537 0.2993 1
Cd2 Cd 0.5000 0.3463 0.7007 1
Hg1 Hg 0.5000 0.7261 0.4568 1
Hg2 Hg 0.5000 0.2739 0.5432 1
Hg3 Hg 0.0000 0.5644 0.1290 1
Hg4 Hg 0.0000 0.0000 0.0000 1
Hg5 Hg 0.0000 0.4356 0.8710 1
Hg6 Hg 0.5000 0.8925 0.7862 1
Hg7 Hg 0.5000 0.1075 0.2138 1
```

Values from the calculation:
M_tot ... 0.00 μB per formula unit
DFT formation energy ... -0.141 eV/atom
Space group ... P2/m, No. 10

[4]
Material: NaGdSb2
Method: DFT, GGA-PBE
State: relaxed

Cell and atoms, written as CIF:
```
data_NaGdSb2
_chemical_formula_sum 'Na1 Gd1 Sb2'
_space_group_name_H-M_alt 'P 1'
_space_group_IT_number 1
_cell_length_a 5.3894
_cell_length_b 5.3894
_cell_length_c 5.3894
_cell_angle_alpha 60.00
_cell_angle_beta 60.00
_cell_angle_gamma 60.00
loop_
_space_group_symop_operation_xyz
'x,y,z'
loop_
_atom_site_label
_atom_site_type_symbol
_atom_site_fract_x
_atom_site_fract_y
_atom_site_fract_z
_atom_site_occupancy
Sb1 Sb 0.2500 0.2500 0.2500 1
Sb2 Sb 0.7500 0.7500 0.7500 1
Gd1 Gd 0.0000 0.0000 0.0000 1
Na1 Na 0.5000 0.5000 0.5000 1
```

Values from the calculation:
Uncorrected formation energy ... -0.5387 eV/atom
M_tot ... 7.38 μB per formula unit
Space group ... Fm-3m, No. 225

[5]
Material: Ac5TlNi2
Method: DFT, GGA-PBE
State: relaxed

Cell and atoms, written as CIF:
```
data_Ac5TlNi2
_chemical_formula_sum 'Ac10 Tl2 Ni4'
_space_group_name_H-M_alt 'P 1'
_space_group_IT_number 1
_cell_length_a 8.3930
_cell_length_b 8.3930
_cell_length_c 9.4359
_cell_angle_alpha 116.41
_cell_angle_beta 116.41
_cell_angle_gamma 90.00
loop_
_space_group_symop_operation_xyz
'x,y,z'
loop_
_atom_site_label
_atom_site_type_symbol
_atom_site_fract_x
_atom_site_fract_y
_atom_site_fract_z
_atom_site_occupancy
Ac1 Ac 0.5230 0.7057 0.7287 1
Ac2 Ac 0.7943 0.9770 0.2713 1
Ac3 Ac 0.0000 0.0000 0.0000 1
Ac4 Ac 0.5000 0.5000 0.0000 1
Ac5 Ac 0.2057 0.0230 0.7287 1
Ac6 Ac 0.7057 0.2057 0.7287 1
Ac7 Ac 0.0230 0.5230 0.7287 1
Ac8 Ac 0.2943 0.7943 0.2713 1
Ac9 Ac 0.9770 0.4770 0.2713 1
Ac10 Ac 0.4770 0.2943 0.2713 1
Tl1 Tl 0.7500 0.7500 0.5000 1
Tl2 Tl 0.2500 0.2500 0.5000 1
Ni1 Ni 0.1298 0.3702 0.0000 1
Ni2 Ni 0.6298 0.1298 0.0000 1
Ni3 Ni 0.3702 0.8702 0.0000 1
Ni4 Ni 0.8702 0.6298 0.0000 1
```

Values from the calculation:
M_tot ... 0.00 μB per formula unit
DFT formation energy ... -0.210 eV/atom
Space group ... I4/mcm, No. 140

[6]
Material: Na2TiGaSe4
Method: DFT, GGA-PBE
State: relaxed

Cell and atoms, written as CIF:
```
data_Na2TiGaSe4
_chemical_formula_sum 'Na2 Ti1 Ga1 Se4'
_space_group_name_H-M_alt 'P 1'
_space_group_IT_number 1
_cell_length_a 6.5553
_cell_length_b 6.5547
_cell_length_c 7.1008
_cell_angle_alpha 117.49
_cell_angle_beta 117.50
_cell_angle_gamma 90.00
loop_
_space_group_symop_operation_xyz
'x,y,z'
loop_
_atom_site_label
_atom_site_type_symbol
_atom_site_fract_x
_atom_site_fract_y
_atom_site_fract_z
_atom_site_occupancy
Na1 Na 0.4859 0.9859 0.9718 1
Na2 Na 0.2360 0.2360 0.4719 1
Ti1 Ti 0.7359 0.7359 0.4718 1
Ga1 Ga 0.9859 0.4859 0.9718 1
Se1 Se 0.6676 0.6093 0.7189 1
Se2 Se 0.8624 0.4203 0.2245 1
Se3 Se 0.3621 0.8042 0.2245 1
Se4 Se 0.0513 0.1096 0.7189 1
```

Values from the calculation:
Uncorrected formation energy ... -0.9235 eV/atom
M_tot ... 0.95 μB per formula unit
Space group ... I-4, No. 82

| no. | energy (Ry/atom) |
| --- | --- |
| 1 | -0.547 |
| 2 | -0.580 |
| 3 | -0.070 |
| 4 | -0.474 |
| 5 | -0.332 |
| 6 | -0.321 |